Crystalline K2RbHg2 at its relaxed geometry, computed with PBE-GGA.

Cell and atoms, written as POSCAR:
```
K2RbHg2
1.0
2.639 -8.301 0.000
2.639 8.301 0.000
0.000 0.000 10.991
K Rb Hg
4 2 4
Cartesian
2.639 6.302 5.496
2.639 3.208 2.893
2.639 -3.208 8.389
2.639 -6.302 0.000
2.639 1.392 7.059
2.639 -1.392 1.563
2.639 7.307 9.173
2.639 4.662 10.685
2.639 -4.662 5.189
2.639 -7.307 3.677
```

**Formation enthalpy at 0 K**: -0.172 eV/atom
**Distance to the lowest polymorph of the same formula**: 0.0214 eV/atom
**Calculated total energy**: -0.0680 Ry per atom
**Density**: 3.89 g/cm3
**Space-group type**: No. 36